## A
The following is a PBE calculation of an optimized crystal structure of RbScAl3, from the Alexandria database.

Unit cell a=5.500 b=5.500 c=5.500 alpha=90.00 beta=90.00 gamma=90.00
Fractional positions:
Rb 0.000 0.000 0.000
Sc 0.500 0.500 0.500
Al 0.000 0.500 0.500
Al 0.500 0.000 0.500
Al 0.500 0.500 0.000

Results
- space-group type = Pm-3m, No. 221


## B
The following is a PBE calculation of an optimized crystal structure of RbScAl3, from the Alexandria database.

Unit cell a=5.393 b=5.393 c=5.393 alpha=90.00 beta=90.00 gamma=90.00
Fractional positions:
Rb 0.000 0.000 0.000
Sc 0.500 0.500 0.500
Al 0.000 0.000 0.500
Al 0.000 0.500 0.000
Al 0.500 0.000 0.000

Results
- space-group type = Pm-3m, No. 221


Stability check: which of them is most stable? A.


## A
The following is a PBE calculation of an optimized crystal structure of RbSc2AlTc, from the Alexandria database.

Unit cell a=5.118 b=5.118 c=5.159 alpha=90.00 beta=90.00 gamma=90.00
Fractional positions:
Rb 0.000 0.000 0.000
Sc 0.000 0.500 0.500
Sc 0.500 0.000 0.500
Al 0.500 0.500 0.000
Tc 0.500 0.500 0.500

Results
- space-group type = P4/mmm, No. 123


## B
The following is a PBE calculation of an optimized crystal structure of RbSc2AlTc, from the Alexandria database.

Unit cell a=4.911 b=4.911 c=4.703 alpha=90.00 beta=90.00 gamma=90.00
Fractional positions:
Rb 0.000 0.000 0.000
Sc 0.000 0.500 0.000
Sc 0.500 0.000 0.000
Al 0.500 0.500 0.500
Tc 0.000 0.000 0.500

Results
- space-group type = P4/mmm, No. 123


Stability check: which of them is most stable? A.


## A
The following is a PBE calculation of an optimized crystal structure of RbAl2Se2, from the Alexandria database.

Unit cell a=7.191 b=7.191 c=7.191 alpha=139.09 beta=139.09 gamma=59.23
Fractional positions:
Rb 0.000 0.000 0.000
Al 0.250 0.750 0.500
Al 0.750 0.250 0.500
Se 0.327 0.327 0.000
Se 0.673 0.673 0.000

Results
- space-group type = I4/mmm, No. 139


## B
The following is a PBE calculation of an optimized crystal structure of RbAl2Se2, from the Alexandria database.

Unit cell a=6.016 b=6.016 c=6.016 alpha=129.98 beta=129.98 gamma=73.44
Fractional positions:
Rb 0.000 0.000 0.000
Al 0.352 0.352 0.000
Al 0.648 0.648 0.000
Se 0.250 0.750 0.500
Se 0.750 0.250 0.500

Results
- space-group type = I4/mmm, No. 139


Stability check: which of them is most stable? B.


## A
The following is a PBE calculation of an optimized crystal structure of RbAl3Si, from the Alexandria database.

Unit cell a=5.734 b=5.734 c=5.734 alpha=90.00 beta=90.00 gamma=90.00
Fractional positions:
Rb 0.000 0.000 0.000
Al 0.000 0.000 0.500
Al 0.000 0.500 0.000
Al 0.500 0.000 0.000
Si 0.500 0.500 0.500

Results
- space-group type = Pm-3m, No. 221


## B
The following is a PBE calculation of an optimized crystal structure of RbAl3Si, from the Alexandria database.

Unit cell a=5.158 b=5.158 c=5.158 alpha=90.00 beta=90.00 gamma=90.00
Fractional positions:
Rb 0.000 0.000 0.000
Al 0.000 0.500 0.500
Al 0.500 0.000 0.500
Al 0.500 0.500 0.000
Si 0.500 0.500 0.500

Results
- space-group type = Pm-3m, No. 221


Stability check: which of them is most stable? B.


## A
The following is a PBE calculation of an optimized crystal structure of RbAlSi3, from the Alexandria database.

Unit cell a=5.595 b=5.595 c=5.595 alpha=90.00 beta=90.00 gamma=90.00
Fractional positions:
Rb 0.000 0.000 0.000
Al 0.500 0.500 0.500
Si 0.000 0.000 0.500
Si 0.000 0.500 0.000
Si 0.500 0.000 0.000

Results
- space-group type = Pm-3m, No. 221


## B
The following is a PBE calculation of an optimized crystal structure of RbAlSi3, from the Alexandria database.

Unit cell a=4.969 b=4.969 c=4.969 alpha=90.00 beta=90.00 gamma=90.00
Fractional positions:
Rb 0.000 0.000 0.000
Al 0.500 0.500 0.500
Si 0.000 0.500 0.500
Si 0.500 0.000 0.500
Si 0.500 0.500 0.000

Results
- space-group type = Pm-3m, No. 221


Stability check: which of them is most stable? B.


## A
The following is a PBE calculation of an optimized crystal structure of Rb2AlSi, from the Alexandria database.

Unit cell a=12.839 b=12.839 c=12.839 alpha=159.07 beta=159.07 gamma=29.76
Fractional positions:
Rb 0.123 0.625 0.998
Rb 0.375 0.373 0.498
Rb 0.627 0.125 0.002
Rb 0.875 0.877 0.502
Al 0.250 0.750 0.500
Al 0.500 0.500 0.000
Si 0.000 0.000 0.000
Si 0.750 0.250 0.500

Results
- space-group type = I-42d, No. 122


## B
The following is a PBE calculation of an optimized crystal structure of Rb2AlSi, from the Alexandria database.

Unit cell a=5.939 b=5.939 c=5.939 alpha=60.00 beta=60.00 gamma=60.00
Fractional positions:
Rb 0.250 0.250 0.250
Rb 0.750 0.750 0.750
Al 0.000 0.000 0.000
Si 0.500 0.500 0.500

Results
- space-group type = Fm-3m, No. 225


Stability check: which of them is most stable? B.


## A
The following is a PBE calculation of an optimized crystal structure of RbAl2Si2, from the Alexandria database.

Unit cell a=8.168 b=8.168 c=3.076 alpha=90.00 beta=90.00 gamma=90.00
Fractional positions:
Rb 0.000 0.000 0.000
Rb 0.500 0.500 0.000
Al 0.125 0.375 0.000
Al 0.375 0.875 0.000
Al 0.625 0.125 0.000
Al 0.875 0.625 0.000
Si 0.149 0.649 0.500
Si 0.351 0.149 0.500
Si 0.649 0.851 0.500
Si 0.851 0.351 0.500

Results
- space-group type = P4/mbm, No. 127


## B
The following is a PBE calculation of an optimized crystal structure of RbAl2Si2, from the Alexandria database.

Unit cell a=6.083 b=6.083 c=6.083 alpha=135.65 beta=135.65 gamma=64.52
Fractional positions:
Rb 0.000 0.000 0.000
Al 0.250 0.750 0.500
Al 0.750 0.250 0.500
Si 0.376 0.376 0.000
Si 0.624 0.624 0.000

Results
- space-group type = I4/mmm, No. 139


Stability check: which of them is most stable? B.


## A
The following is a PBE calculation of an optimized crystal structure of Rb2AlSn, from the Alexandria database.

Unit cell a=6.101 b=6.101 c=6.101 alpha=60.00 beta=60.00 gamma=60.00
Fractional positions:
Rb 0.250 0.250 0.250
Rb 0.750 0.750 0.750
Al 0.000 0.000 0.000
Sn 0.500 0.500 0.500

Results
- space-group type = Fm-3m, No. 225


## B
The following is a PBE calculation of an optimized crystal structure of Rb2AlSn, from the Alexandria database.

Unit cell a=10.230 b=10.230 c=10.230 alpha=93.69 beta=93.69 gamma=150.60
Fractional positions:
Rb 0.375 0.136 0.261
Rb 0.864 0.125 0.239
Rb 0.875 0.114 0.739
Rb 0.886 0.625 0.761
Al 0.000 0.000 0.000
Al 0.750 0.250 0.500
Sn 0.250 0.750 0.500
Sn 0.500 0.500 0.000

Results
- space-group type = I-42d, No. 122


Stability check: which of them is most stable? B.


## A
The following is a PBE calculation of an optimized crystal structure of Rb2SrAl2, from the Alexandria database.

Unit cell a=10.209 b=10.209 c=3.842 alpha=90.00 beta=90.00 gamma=90.00
Fractional positions:
Rb 0.123 0.377 0.000
Rb 0.377 0.877 0.000
Rb 0.623 0.123 0.000
Rb 0.877 0.623 0.000
Sr 0.000 0.000 0.000
Sr 0.500 0.500 0.000
Al 0.181 0.681 0.500
Al 0.319 0.181 0.500
Al 0.681 0.819 0.500
Al 0.819 0.319 0.500

Results
- space-group type = P4/mbm, No. 127


## B
The following is a PBE calculation of an optimized crystal structure of Rb2SrAl2, from the Alexandria database.

Unit cell a=7.254 b=7.254 c=7.254 alpha=128.73 beta=128.73 gamma=75.45
Fractional positions:
Rb 0.139 0.139 0.000
Rb 0.861 0.861 0.000
Sr 0.500 0.500 0.000
Al 0.250 0.750 0.500
Al 0.750 0.250 0.500

Results
- space-group type = I4/mmm, No. 139


Stability check: which of them is most stable? A.


## A
The following is a PBE calculation of an optimized crystal structure of Rb3SrAl, from the Alexandria database.

Unit cell a=7.074 b=7.074 c=7.074 alpha=90.00 beta=90.00 gamma=90.00
Fractional positions:
Rb 0.000 0.000 0.500
Rb 0.000 0.500 0.000
Rb 0.500 0.000 0.000
Sr 0.500 0.500 0.500
Al 0.000 0.000 0.000

Results
- space-group type = Pm-3m, No. 221


## B
The following is a PBE calculation of an optimized crystal structure of Rb3SrAl, from the Alexandria database.

Unit cell a=8.018 b=8.018 c=8.018 alpha=90.00 beta=90.00 gamma=90.00
Fractional positions:
Rb 0.000 0.000 0.500
Rb 0.000 0.500 0.000
Rb 0.500 0.000 0.000
Sr 0.000 0.000 0.000
Al 0.500 0.500 0.500

Results
- space-group type = Pm-3m, No. 221


Stability check: which of them is most stable? A.


## A
The following is a PBE calculation of an optimized crystal structure of RbTaAl3, from the Alexandria database.

Unit cell a=5.247 b=5.247 c=5.247 alpha=90.00 beta=90.00 gamma=90.00
Fractional positions:
Rb 0.000 0.000 0.000
Ta 0.500 0.500 0.500
Al 0.000 0.500 0.500
Al 0.500 0.000 0.500
Al 0.500 0.500 0.000

Results
- space-group type = Pm-3m, No. 221


## B
The following is a PBE calculation of an optimized crystal structure of RbTaAl3, from the Alexandria database.

Unit cell a=5.091 b=5.091 c=5.091 alpha=90.00 beta=90.00 gamma=90.00
Fractional positions:
Rb 0.000 0.000 0.000
Ta 0.500 0.500 0.500
Al 0.000 0.000 0.500
Al 0.000 0.500 0.000
Al 0.500 0.000 0.000

Results
- space-group type = Pm-3m, No. 221


Stability check: which of them is most stable? A.


## A
The following is a PBE calculation of an optimized crystal structure of Rb2AlTc2, from the Alexandria database.

Unit cell a=10.474 b=10.474 c=2.772 alpha=90.00 beta=90.00 gamma=90.00
Fractional positions:
Rb 0.123 0.377 0.000
Rb 0.377 0.877 0.000
Rb 0.623 0.123 0.000
Rb 0.877 0.623 0.000
Al 0.000 0.000 0.000
Al 0.500 0.500 0.000
Tc 0.179 0.679 0.500
Tc 0.321 0.179 0.500
Tc 0.679 0.821 0.500
Tc 0.821 0.321 0.500

Results
- space-group type = P4/mbm, No. 127


## B
The following is a PBE calculation of an optimized crystal structure of Rb2AlTc2, from the Alexandria database.

Unit cell a=12.825 b=12.825 c=12.825 alpha=164.46 beta=164.46 gamma=22.04
Fractional positions:
Rb 0.120 0.120 0.000
Rb 0.880 0.880 0.000
Al 0.500 0.500 0.000
Tc 0.250 0.750 0.500
Tc 0.750 0.250 0.500

Results
- space-group type = I4/mmm, No. 139


Stability check: which of them is most stable? B.


## A
The following is a PBE calculation of an optimized crystal structure of RbAl2Tc, from the Alexandria database.

Unit cell a=8.465 b=8.465 c=8.465 alpha=136.01 beta=136.01 gamma=63.97
Fractional positions:
Rb 0.375 0.625 0.750
Rb 0.625 0.375 0.250
Al 0.000 0.000 0.000
Al 0.000 0.000 0.500
Al 0.000 0.500 0.000
Al 0.500 0.000 0.500
Tc 0.125 0.875 0.250
Tc 0.875 0.125 0.750

Results
- space-group type = I4_1/amd, No. 141


## B
The following is a PBE calculation of an optimized crystal structure of RbAl2Tc, from the Alexandria database.

Unit cell a=4.919 b=4.919 c=4.919 alpha=60.00 beta=60.00 gamma=60.00
Fractional positions:
Rb 0.000 0.000 0.000
Al 0.250 0.250 0.250
Al 0.750 0.750 0.750
Tc 0.500 0.500 0.500

Results
- space-group type = Fm-3m, No. 225


Stability check: which of them is most stable? A.


## A
The following is a PBE calculation of an optimized crystal structure of RbAl3Te, from the Alexandria database.

Unit cell a=6.014 b=6.014 c=6.014 alpha=90.00 beta=90.00 gamma=90.00
Fractional positions:
Rb 0.000 0.000 0.000
Al 0.000 0.000 0.500
Al 0.000 0.500 0.000
Al 0.500 0.000 0.000
Te 0.500 0.500 0.500

Results
- space-group type = Pm-3m, No. 221


## B
The following is a PBE calculation of an optimized crystal structure of RbAl3Te, from the Alexandria database.

Unit cell a=5.743 b=5.743 c=5.743 alpha=90.00 beta=90.00 gamma=90.00
Fractional positions:
Rb 0.000 0.000 0.000
Al 0.000 0.500 0.500
Al 0.500 0.000 0.500
Al 0.500 0.500 0.000
Te 0.500 0.500 0.500

Results
- space-group type = Pm-3m, No. 221


Stability check: which of them is most stable? B.